VASP calculation (PBE) on a relaxed structure of KFe2P2.

## Properties
calculated formation energy	-0.52	eV/atom
final energy	-6.2913	eV per atom
total magnetic moment	0.00	μB per formula unit

abc: 6.8900 6.8900 6.8900
angles: 148.05 148.05 45.81
Sites, in units of the cell vectors:
K 0.0000 0.0000 0.0000
Fe 0.2500 0.7500 0.5000
Fe 0.7500 0.2500 0.5000
P 0.3361 0.3361 0.0000
P 0.6639 0.6639 0.0000